The following is a DFT calculation (PBE-GGA) of an optimized crystal structure of Li4Cd3In2.

The structure belongs to space group C2/m (No. 12); the cell edges are 8.301, 4.790 and 8.704 Å and the angles 90.00°, 90.06° and 90.00°. Symmetry generates all atoms from Li at (0.000, 0.000, 0.169), Li at (0.166, 0.500, 0.391), Cd at (0.000, 0.000, 0.500), Cd at (0.167, 0.500, 0.068) and In at (0.167, 0.500, 0.719).

The value obtained for the calculated volume is 346.06 Å³ per cell. The total magnetic moment is 0.0 μB/f.u.

---

The following is a DFT calculation (PBE-GGA) of an optimized crystal structure of LiCdIn2.

The structure belongs to space group F-43m (No. 216); the cell edges are 7.206, 7.206 and 7.206 Å and the angles 90.00°, 90.00° and 90.00°. Symmetry generates all atoms from Li at (0.000, 0.000, 0.000), Cd at (0.250, 0.250, 0.750), In at (0.000, 0.000, 0.500) and In at (0.250, 0.250, 0.250).

The value obtained for the calculated volume is 374.11 Å³ per cell. The total magnetic moment is 0.0 μB/f.u.

---

The following is a DFT calculation (PBE-GGA) of an optimized crystal structure of Li4CdIn2.

The structure belongs to space group Cmmm (No. 65); the cell edges are 5.422, 11.302 and 5.070 Å and the angles 90.00°, 90.00° and 90.00°. Symmetry generates all atoms from Li at (0.000, 0.129, 0.000), Li at (0.000, 0.269, 0.500), Cd at (0.000, 0.000, 0.500) and In at (0.000, 0.374, 0.000).

The polymorph energy (0 for the lowest one) comes out at 0.72 eV per formula unit. The value obtained for the calculated volume is 310.72 Å³ per cell. The total magnetic moment is 0.0 μB/f.u.

---

The following is a DFT calculation (PBE-GGA) of an optimized crystal structure of LiCd4In.

The structure belongs to space group C2/m (No. 12); the cell edges are 8.332, 4.828 and 7.587 Å and the angles 90.00°, 111.02° and 90.00°. Symmetry generates all atoms from Li at (0.000, 0.000, 0.000), Cd at (0.137, 0.500, 0.910), Cd at (0.224, 0.000, 0.676) and In at (0.000, 0.500, 0.500).

The polymorph energy (0 for the lowest one) comes out at 0.19 eV per formula unit. The value obtained for the calculated volume is 284.88 Å³ per cell. The total magnetic moment is 0.0 μB/f.u.

---

The following is a DFT calculation (PBE-GGA) of an optimized crystal structure of Li5Cd2In12.

The structure belongs to space group C2/m (No. 12); the cell edges are 19.860, 7.949 and 5.872 Å and the angles 90.00°, 92.02° and 90.00°. Symmetry generates all atoms from Li at (0.000, 0.000, 0.000), Li at (0.146, 0.500, 0.461), Li at (0.222, 0.500, 0.947), Cd at (0.000, 0.319, 0.500), In at (0.072, 0.500, 0.927), In at (0.077, 0.000, 0.606), In at (0.135, 0.192, 0.167) and In at (0.209, 0.194, 0.695).

The polymorph energy (0 for the lowest one) comes out at 0.00 eV per formula unit. The value obtained for the calculated volume is 926.43 Å³ per cell. The total magnetic moment is 0.0 μB/f.u.

---

The following is a DFT calculation (PBE-GGA) of an optimized crystal structure of Li2Cd2In.

The structure belongs to space group Imma (No. 74); the cell edges are 2.954, 4.783 and 29.577 Å and the angles 90.00°, 90.00° and 90.00°. Symmetry generates all atoms from Li at (0.000, 0.250, 0.024), Li at (0.000, 0.250, 0.114), Cd at (0.000, 0.250, 0.294), Cd at (0.000, 0.250, 0.832) and In at (0.000, 0.250, 0.567).

The polymorph energy (0 for the lowest one) comes out at 0.28 eV per formula unit. The value obtained for the calculated volume is 417.98 Å³ per cell. The total magnetic moment is 0.0 μB/f.u.

---

The following is a DFT calculation (PBE-GGA) of an optimized crystal structure of LiCd3In.

The structure belongs to space group C2/c (No. 15); the cell edges are 9.329, 11.925 and 8.370 Å and the angles 90.00°, 105.11° and 90.00°. Symmetry generates all atoms from Li at (0.000, 0.032, 0.250), Li at (0.000, 0.388, 0.750), Cd at (0.066, 0.400, 0.103), Cd at (0.223, 0.210, 0.318), Cd at (0.236, 0.025, 0.571) and In at (0.044, 0.176, 0.947).

The polymorph energy (0 for the lowest one) comes out at 0.06 eV per formula unit. The value obtained for the calculated volume is 898.94 Å³ per cell. The total magnetic moment is 0.0 μB/f.u.

---

The following is a DFT calculation (PBE-GGA) of an optimized crystal structure of LiCd12In6.

The structure belongs to space group R-3 (No. 148, hexagonal axes); the cell edges are 11.1064, 11.1064 and 12.8740 Å and the angles 90.00°, 90.00° and 120.00°. Symmetry generates all atoms from Li at (0.0000, 0.0000, 0.0000), Cd at (0.0447, 0.1802, 0.8142), Cd at (0.0660, 0.8646, 0.4056) and In at (0.0263, 0.4392, 0.7108).

The polymorph energy (0 for the lowest one) comes out at 0.21 eV per formula unit. The value obtained for the calculated volume is 1375.27 Å³ per cell. The total magnetic moment is 0.0 μB/f.u.

---

The following is a DFT calculation (PBE-GGA) of an optimized crystal structure of Li2Cd2In.

The structure belongs to space group P4/mbm (No. 127); the cell edges are 7.920, 7.920 and 3.255 Å and the angles 90.00°, 90.00° and 90.00°. Symmetry generates all atoms from Li at (0.164, 0.336, 0.000), Cd at (0.133, 0.633, 0.500) and In at (0.000, 0.000, 0.500).

The polymorph energy (0 for the lowest one) comes out at 0.17 eV per formula unit. The value obtained for the calculated volume is 204.17 Å³ per cell. The total magnetic moment is 0.0 μB/f.u.

---

The following is a DFT calculation (PBE-GGA) of an optimized crystal structure of LiCd4In7.

The structure belongs to space group C2/m (No. 12); the cell edges are 13.915, 5.380 and 10.811 Å and the angles 90.00°, 126.56° and 90.00°. Symmetry generates all atoms from Li at (0.000, 0.000, 0.000), Cd at (0.065, 0.500, 0.775), Cd at (0.217, 0.500, 0.321), In at (0.000, 0.500, 0.000), In at (0.083, 0.000, 0.335), In at (0.147, 0.500, 0.573) and In at (0.211, 0.000, 0.892).

The polymorph energy (0 for the lowest one) comes out at 0.76 eV per formula unit. The value obtained for the calculated volume is 650.11 Å³ per cell. The total magnetic moment is 0.0 μB/f.u.

---

The following is a DFT calculation (PBE-GGA) of an optimized crystal structure of Li8CdIn2.

The structure belongs to space group C2/m (No. 12); the cell edges are 7.596, 14.085 and 4.893 Å and the angles 90.00°, 127.96° and 90.00°. Symmetry generates all atoms from Li at (0.000, 0.204, 0.000), Li at (0.062, 0.500, 0.788), Li at (0.227, 0.128, 0.705), Cd at (0.000, 0.000, 0.000) and In at (0.000, 0.313, 0.500).

The polymorph energy (0 for the lowest one) comes out at 0.70 eV per formula unit. The value obtained for the calculated volume is 412.76 Å³ per cell. The total magnetic moment is 0.0 μB/f.u.

---

The following is a DFT calculation (PBE-GGA) of an optimized crystal structure of LiCdIn2.

The structure belongs to space group Cm (No. 8); the cell edges are 10.702, 3.201 and 5.415 Å and the angles 90.00°, 98.82° and 90.00°. Symmetry generates all atoms from Li at (0.000, 0.000, 0.000), Cd at (0.234, 0.500, 0.241), In at (0.260, 0.000, 0.765) and In at (0.498, 0.000, 0.495).

The value obtained for the calculated volume is 183.31 Å³ per cell. The total magnetic moment is 0.0 μB/f.u.

---

Total DFT energy (no corrections) across the listed records, respectively: -36.2; -34.7; -28.3; -17.0; -90.9; -36.9; -62.5; -87.0; -18.7; -47.9; -46.8; -17.6 eV per cell.